Entry 1:
Compound: LaW
Source: the Alexandria database
Functional: GGA-PBEsol
Structure: optimized geometry

a b c (Å): 3.301 3.301 9.298
angles (deg): 90.00 90.00 120.00
Element x y z (fractional)
1 La 0.000 0.000 0.000
2 La 0.000 0.000 0.500
3 W 0.667 0.333 0.750
4 W 0.333 0.667 0.250

Summary:
**Calculated formation energy**: 28.11 kcal/mol of atoms
**ΔE to the lowest computed polymorph**: 0.663 eV/atom

Entry 2:
Compound: KTl2Sb
Source: the Alexandria database
Functional: GGA-PBEsol
Structure: optimized geometry

a b c (Å): 3.357 5.513 6.530
angles (deg): 90.00 96.49 90.00
Element x y z (fractional)
1 Sb 0.000 0.500 0.500
2 Tl 0.804 0.000 0.725
3 Tl 0.196 0.000 0.275
4 K 0.500 0.500 0.000

Summary:
**Raw formation energy**: -0.137 eV per atom

Entry 3:
Compound: La3ScBi5
Source: the Alexandria database
Functional: GGA-PBEsol
Structure: optimized geometry

a b c (Å): 6.510 9.693 9.693
angles (deg): 120.00 90.00 90.00
Element x y z (fractional)
1 La 0.250 0.382 0.000
2 La 0.250 0.618 0.618
3 La 0.750 0.000 0.618
4 La 0.750 0.382 0.382
5 La 0.250 0.000 0.382
6 La 0.750 0.618 0.000
7 Sc 0.500 0.000 0.000
8 Sc 0.000 0.000 0.000
9 Bi 0.250 0.739 0.000
10 Bi 0.000 0.333 0.667
11 Bi 0.500 0.667 0.333
12 Bi 0.500 0.333 0.667
13 Bi 0.750 0.739 0.739
14 Bi 0.750 0.000 0.261
15 Bi 0.750 0.261 0.000
16 Bi 0.250 0.261 0.261
17 Bi 0.250 0.000 0.739
18 Bi 0.000 0.667 0.333

Summary:
**Calculated formation energy**: -21.63 kcal/mol of atoms

Entry 4:
Compound: KLiCu2
Source: the Alexandria database
Functional: GGA-PBEsol
Structure: optimized geometry

a b c (Å): 4.168 4.191 6.342
angles (deg): 109.12 90.00 119.82
Element x y z (fractional)
1 Cu 0.016 0.032 0.047
2 Cu 0.688 0.376 0.060
3 K 0.489 0.978 0.474
4 Li 0.307 0.614 0.919

Summary:
**Calculated formation energy**: 5.29 kcal/mol of atoms
**ΔE to the lowest computed polymorph**: 0.000 eV/atom

Entry 5:
Compound: RePdSe2Br
Source: the Alexandria database
Functional: GGA-PBEsol
Structure: optimized geometry

a b c (Å): 4.692 4.692 5.294
angles (deg): 90.00 90.00 90.00
Element x y z (fractional)
1 Re 0.000 0.000 0.000
2 Se 0.000 0.500 0.000
3 Se 0.500 0.000 0.000
4 Br 0.000 0.000 0.500
5 Pd 0.500 0.500 0.500

Summary:
**Raw formation energy**: 0.749 eV per atom

Entry 6:
Compound: BeInP2
Source: the Alexandria database
Functional: GGA-PBEsol
Structure: optimized geometry

a b c (Å): 3.698 3.698 5.670
angles (deg): 90.00 90.00 90.00
Element x y z (fractional)
1 P 0.500 0.000 0.806
2 P 0.000 0.500 0.194
3 In 0.000 0.000 0.500
4 Be 0.500 0.500 0.000

Summary:
**Calculated formation energy**: -0.83 kcal/mol of atoms

Entry 7:
Compound: CsIn2Te2
Source: the Alexandria database
Functional: GGA-PBEsol
Structure: optimized geometry

a b c (Å): 5.709 5.709 6.599
angles (deg): 115.63 115.63 90.00
Element x y z (fractional)
1 Cs 0.000 0.000 0.000
2 Te 0.250 0.750 0.500
3 Te 0.750 0.250 0.500
4 In 0.358 0.358 0.715
5 In 0.642 0.642 0.285

Summary:
**Raw formation energy**: -0.496 eV per atom

Entry 8:
Compound: MnReNi2
Source: the Alexandria database
Functional: GGA-PBEsol
Structure: optimized geometry

a b c (Å): 2.575 2.575 7.085
angles (deg): 90.00 90.00 90.00
Last column: magnetic moment on the atom in μB.
Element x y z (fractional)
1 Mn 0.500 0.500 0.767  2.07
2 Ni 0.000 0.000 0.001  0.37
3 Ni 0.500 0.500 0.239  0.15
4 Re 0.000 0.000 0.494  -0.04

Summary:
**Calculated formation energy**: 1.52 kcal/mol of atoms
**ΔE to the lowest computed polymorph**: 0.000 eV/atom

Entry 9:
Compound: Pt2RhW
Source: the Alexandria database
Functional: GGA-PBEsol
Structure: optimized geometry

a b c (Å): 2.727 4.761 4.778
angles (deg): 99.52 106.58 90.00
Element x y z (fractional)
1 Rh 0.497 0.494 0.993
2 W 0.752 0.253 0.504
3 Pt 0.003 0.006 0.006
4 Pt 0.248 0.747 0.497

Summary:
**Calculated formation energy**: -4.88 kcal/mol of atoms
**ΔE to the lowest computed polymorph**: 0.076 eV/atom

Entry 10:
Compound: CdAg2Hg
Source: the Alexandria database
Functional: GGA-PBEsol
Structure: optimized geometry

a b c (Å): 2.966 5.119 5.119
angles (deg): 109.30 91.22 91.22
Element x y z (fractional)
1 Hg 0.500 0.000 0.000
2 Ag 0.000 0.500 0.000
3 Ag 0.000 0.000 0.500
4 Cd 0.500 0.500 0.500

Summary:
**Calculated formation energy**: -0.43 kcal/mol of atoms
**ΔE to the lowest computed polymorph**: 0.015 eV/atom

Entry 11:
Compound: CdSi3Cl
Source: the Alexandria database
Functional: GGA-PBEsol
Structure: optimized geometry

a b c (Å): 5.025 5.025 5.025
angles (deg): 90.00 90.00 90.00
Last column: magnetic moment on the atom in μB.
Element x y z (fractional)
1 Si 0.000 0.500 0.000  0.07
2 Si 0.000 0.000 0.500  0.07
3 Si 0.500 0.000 0.000  0.07
4 Cl 0.500 0.500 0.500  0.14
5 Cd 0.000 0.000 0.000  0.02

Summary:
**Raw formation energy**: 1.205 eV per atom

Entry 12:
Compound: SrLi2Al
Source: the Alexandria database
Functional: GGA-PBEsol
Structure: optimized geometry

a b c (Å): 4.740 4.759 5.658
angles (deg): 114.81 90.00 119.87
Element x y z (fractional)
1 Sr 0.500 0.000 0.000
2 Al 0.000 0.000 0.500
3 Li 0.712 0.425 0.637
4 Li 0.288 0.575 0.363

Summary:
**Calculated formation energy**: -1.17 kcal/mol of atoms

| no. | E (eV per atom) |
| --- | --- |
| 1 | -8.358 |
| 2 | -2.874 |
| 3 | -5.835 |
| 4 | -2.713 |
| 5 | -5.024 |
| 6 | -4.677 |
| 7 | -3.288 |
| 8 | -8.786 |
| 9 | -9.180 |
| 10 | -2.115 |
| 11 | -2.884 |
| 12 | -2.517 |